# LiSn2Te (PBE, optimized geometry)
data_LiSn2Te
_cell_length_a 6.967
_cell_length_b 6.967
_cell_length_c 11.432
_cell_angle_alpha 90.00
_cell_angle_beta 90.00
_cell_angle_gamma 90.00
_space_group_name_H-M_alt 'I -4 2 d'
_space_group_IT_number 122
_space_group_name_Hall 'I -4 2bw'
loop_
_atom_site_label
_atom_site_type_symbol
_atom_site_fract_x
_atom_site_fract_y
_atom_site_fract_z
Li1 Li 0.000 0.000 0.000
Sn1 Sn 0.226 0.250 0.125
Te1 Te 0.000 0.000 0.500
# Energy relative to the elements, uncorrected, eV per atom: 0.11
# Size of the total moment, μB/atom: 0.00
# Crystal system: tetragonal



# LiTlSnTe2 (PBE, optimized geometry)
data_LiTlSnTe2
_cell_length_a 17.002
_cell_length_b 4.518
_cell_length_c 10.541
_cell_angle_alpha 90.00
_cell_angle_beta 125.36
_cell_angle_gamma 90.00
_space_group_name_H-M_alt 'C 1 2/m 1'
_space_group_IT_number 12
loop_
_space_group_symop_operation_xyz
'x,y,z'
'-x,-y,-z'
'-x,y,-z'
'x,-y,z'
'x+1/2,y+1/2,z'
'-x+1/2,-y+1/2,-z'
'-x+1/2,y+1/2,-z'
'x+1/2,-y+1/2,z'
loop_
_atom_site_label
_atom_site_type_symbol
_atom_site_fract_x
_atom_site_fract_y
_atom_site_fract_z
Li1 Li 0.063 0.000 0.186
Tl1 Tl 0.198 0.000 0.654
Sn1 Sn 0.100 0.500 0.796
Te1 Te 0.115 0.500 0.370
Te2 Te 0.142 0.000 0.012
# Energy relative to the elements, uncorrected, eV per atom: -0.47
# Size of the total moment, μB/atom: 0.00
# Crystal system: monoclinic



# LiTl2SnTe4 (PBE, optimized geometry)
data_LiTl2SnTe4
_cell_length_a 8.815
_cell_length_b 8.986
_cell_length_c 12.411
_cell_angle_alpha 90.00
_cell_angle_beta 90.00
_cell_angle_gamma 90.00
_space_group_name_H-M_alt 'I m m a'
_space_group_IT_number 74
_space_group_name_Hall '-I 2b 2'
loop_
_atom_site_label
_atom_site_type_symbol
_atom_site_fract_x
_atom_site_fract_y
_atom_site_fract_z
Li1 Li 0.000 0.000 0.000
Tl1 Tl 0.000 0.000 0.500
Tl2 Tl 0.250 0.250 0.250
Sn1 Sn 0.250 0.250 0.750
Te1 Te 0.000 0.014 0.763
Te2 Te 0.231 0.250 0.992
# Energy relative to the elements, uncorrected, eV per atom: -0.32
# Size of the total moment, μB/atom: 0.00
# Crystal system: orthorhombic



# Li2TmSnTe4 (PBE, optimized geometry)
data_Li2TmSnTe4
_cell_length_a 7.453
_cell_length_b 4.277
_cell_length_c 7.537
_cell_angle_alpha 90.00
_cell_angle_beta 109.89
_cell_angle_gamma 90.00
_space_group_name_H-M_alt 'P 1 2/m 1'
_space_group_IT_number 10
loop_
_space_group_symop_operation_xyz
'x,y,z'
'-x,-y,-z'
'-x,y,-z'
'x,-y,z'
loop_
_atom_site_label
_atom_site_type_symbol
_atom_site_fract_x
_atom_site_fract_y
_atom_site_fract_z
Li1 Li 0.000 0.000 0.000
Li2 Li 0.000 0.500 0.500
Tm1 Tm 0.500 0.000 0.500
Sn1 Sn 0.500 0.500 0.000
Te1 Te 0.243 0.000 0.743
Te2 Te 0.246 0.500 0.248
# Energy relative to the elements, uncorrected, eV per atom: -0.87
# Size of the total moment, μB/atom: 0.00
# Crystal system: monoclinic



# Li3U3SnTe8 (PBE, optimized geometry)
data_Li3U3SnTe8
_cell_length_a 8.8099
_cell_length_b 8.8099
_cell_length_c 20.8677
_cell_angle_alpha 90.00
_cell_angle_beta 90.00
_cell_angle_gamma 120.00
_space_group_name_H-M_alt 'R -3 m'
_space_group_IT_number 166
_space_group_name_Hall '-R 3 2"'
loop_
_atom_site_label
_atom_site_type_symbol
_atom_site_fract_x
_atom_site_fract_y
_atom_site_fract_z
Li1 Li 0.0000 0.5000 0.0000
U1 U 0.0000 0.5000 0.5000
Sn1 Sn 0.0000 0.0000 0.5000
Te1 Te 0.0000 0.0000 0.2535
Te2 Te 0.0087 0.5044 0.7491
# Energy relative to the elements, uncorrected, eV per atom: -0.68
# Size of the total moment, μB/atom: 0.47
# Crystal system: trigonal



# Li2USnTe4 (PBE, optimized geometry)
data_Li2USnTe4
_cell_length_a 7.354
_cell_length_b 4.392
_cell_length_c 7.794
_cell_angle_alpha 90.00
_cell_angle_beta 110.07
_cell_angle_gamma 90.00
_space_group_name_H-M_alt 'P 1 2/m 1'
_space_group_IT_number 10
loop_
_space_group_symop_operation_xyz
'x,y,z'
'-x,-y,-z'
'-x,y,-z'
'x,-y,z'
loop_
_atom_site_label
_atom_site_type_symbol
_atom_site_fract_x
_atom_site_fract_y
_atom_site_fract_z
Li1 Li 0.000 0.000 0.000
Li2 Li 0.000 0.500 0.500
U1 U 0.500 0.000 0.500
Sn1 Sn 0.500 0.500 0.000
Te1 Te 0.244 0.000 0.733
Te2 Te 0.244 0.500 0.253
# Energy relative to the elements, uncorrected, eV per atom: -0.67
# Size of the total moment, μB/atom: 0.25
# Crystal system: monoclinic



# LiY2Sn3Te6 (PBE, optimized geometry)
data_LiY2Sn3Te6
_cell_length_a 19.637
_cell_length_b 4.387
_cell_length_c 9.073
_cell_angle_alpha 90.00
_cell_angle_beta 105.03
_cell_angle_gamma 90.00
_space_group_name_H-M_alt 'C 1 2/m 1'
_space_group_IT_number 12
loop_
_space_group_symop_operation_xyz
'x,y,z'
'-x,-y,-z'
'-x,y,-z'
'x,-y,z'
'x+1/2,y+1/2,z'
'-x+1/2,-y+1/2,-z'
'-x+1/2,y+1/2,-z'
'x+1/2,-y+1/2,z'
loop_
_atom_site_label
_atom_site_type_symbol
_atom_site_fract_x
_atom_site_fract_y
_atom_site_fract_z
Li1 Li 0.000 0.000 0.000
Y1 Y 0.167 0.500 0.344
Sn1 Sn 0.000 0.000 0.500
Sn2 Sn 0.158 0.500 0.848
Te1 Te 0.005 0.500 0.243
Te2 Te 0.169 0.000 0.588
Te3 Te 0.170 0.000 0.101
# Energy relative to the elements, uncorrected, eV per atom: -0.73
# Size of the total moment, μB/atom: 0.00
# Crystal system: monoclinic



# Li2YSn3Te6 (PBE, optimized geometry)
data_Li2YSn3Te6
_cell_length_a 7.567
_cell_length_b 13.129
_cell_length_c 7.732
_cell_angle_alpha 90.00
_cell_angle_beta 109.08
_cell_angle_gamma 90.00
_space_group_name_H-M_alt 'C 1 2/m 1'
_space_group_IT_number 12
loop_
_space_group_symop_operation_xyz
'x,y,z'
'-x,-y,-z'
'-x,y,-z'
'x,-y,z'
'x+1/2,y+1/2,z'
'-x+1/2,-y+1/2,-z'
'-x+1/2,y+1/2,-z'
'x+1/2,-y+1/2,z'
loop_
_atom_site_label
_atom_site_type_symbol
_atom_site_fract_x
_atom_site_fract_y
_atom_site_fract_z
Li1 Li 0.000 0.173 0.000
Y1 Y 0.000 0.500 0.000
Sn1 Sn 0.000 0.000 0.500
Sn2 Sn 0.000 0.339 0.500
Te1 Te 0.246 0.000 0.241
Te2 Te 0.247 0.334 0.238
# Energy relative to the elements, uncorrected, eV per atom: -0.67
# Size of the total moment, μB/atom: 0.00
# Crystal system: monoclinic



# LiThSn2 (PBE, optimized geometry)
data_LiThSn2
_cell_length_a 7.485
_cell_length_b 7.485
_cell_length_c 7.485
_cell_angle_alpha 90.00
_cell_angle_beta 90.00
_cell_angle_gamma 90.00
_space_group_name_H-M_alt 'F m -3 m'
_space_group_IT_number 225
_space_group_name_Hall '-F 4 2 3'
loop_
_atom_site_label
_atom_site_type_symbol
_atom_site_fract_x
_atom_site_fract_y
_atom_site_fract_z
Li1 Li 0.000 0.000 0.000
Th1 Th 0.000 0.000 0.500
Sn1 Sn 0.250 0.250 0.250
# Energy above the lowest structure with this stoichiometry, eV/f.u.: 0.655
# Formation enthalpy at 0 K, kcal/mol of atoms: -7.04
# Size of the total moment, μB/atom: 0.00
# Crystal system: cubic



# LiThSn2 (PBE, optimized geometry)
data_LiThSn2
_cell_length_a 4.512
_cell_length_b 4.512
_cell_length_c 19.762
_cell_angle_alpha 90.00
_cell_angle_beta 90.00
_cell_angle_gamma 90.00
_space_group_name_H-M_alt 'I 4/m m m'
_space_group_IT_number 139
_space_group_name_Hall '-I 4 2'
loop_
_atom_site_label
_atom_site_type_symbol
_atom_site_fract_x
_atom_site_fract_y
_atom_site_fract_z
Li1 Li 0.000 0.500 0.250
Th1 Th 0.000 0.000 0.121
Sn1 Sn 0.000 0.000 0.332
Sn2 Sn 0.000 0.500 0.000
# Energy above the lowest structure with this stoichiometry, eV/f.u.: 0.000
# Formation enthalpy at 0 K, kcal/mol of atoms: -10.82
# Size of the total moment, μB/atom: 0.00
# Crystal system: tetragonal



# Li3ThSn2 (PBE, optimized geometry)
data_Li3ThSn2
_cell_length_a 16.388
_cell_length_b 4.564
_cell_length_c 8.086
_cell_angle_alpha 90.00
_cell_angle_beta 116.68
_cell_angle_gamma 90.00
_space_group_name_H-M_alt 'C 1 2/m 1'
_space_group_IT_number 12
loop_
_space_group_symop_operation_xyz
'x,y,z'
'-x,-y,-z'
'-x,y,-z'
'x,-y,z'
'x+1/2,y+1/2,z'
'-x+1/2,-y+1/2,-z'
'-x+1/2,y+1/2,-z'
'x+1/2,-y+1/2,z'
loop_
_atom_site_label
_atom_site_type_symbol
_atom_site_fract_x
_atom_site_fract_y
_atom_site_fract_z
Li1 Li 0.048 0.000 0.389
Li2 Li 0.109 0.500 0.694
Li3 Li 0.195 0.500 0.476
Th1 Th 0.139 0.000 0.055
Sn1 Sn 0.021 0.500 0.190
Sn2 Sn 0.207 0.000 0.731
# Formation enthalpy at 0 K, kcal/mol of atoms: -9.89
# Size of the total moment, μB/atom: 0.00
# Crystal system: monoclinic



# LiTh2Sn9 (PBE, optimized geometry)
data_LiTh2Sn9
_cell_length_a 4.724
_cell_length_b 4.724
_cell_length_c 14.163
_cell_angle_alpha 90.00
_cell_angle_beta 90.00
_cell_angle_gamma 90.00
_space_group_name_H-M_alt 'P 4/m m m'
_space_group_IT_number 123
_space_group_name_Hall '-P 4 2'
loop_
_atom_site_label
_atom_site_type_symbol
_atom_site_fract_x
_atom_site_fract_y
_atom_site_fract_z
Li1 Li 0.000 0.000 0.000
Th1 Th 0.000 0.000 0.336
Sn1 Sn 0.000 0.500 0.158
Sn2 Sn 0.000 0.500 0.500
Sn3 Sn 0.500 0.500 0.000
Sn4 Sn 0.500 0.500 0.329
# Formation enthalpy at 0 K, kcal/mol of atoms: -7.68
# Size of the total moment, μB/atom: 0.00
# Crystal system: tetragonal